# Fe2AsW SCAN single point on PBEsol structure
# calculated formation energy = 77 kJ/mol of formula units
data_Fe2AsW
_symmetry_space_group_name_H-M 'F -4 3 m'
_symmetry_Int_Tables_number 216
_symmetry_space_group_name_Hall 'F -4 2 3'
_cell_length_a 5.8899
_cell_length_b 5.8899
_cell_length_c 5.8899
_cell_angle_alpha 90.00
_cell_angle_beta 90.00
_cell_angle_gamma 90.00
loop_
_atom_site_label
_atom_site_fract_x
_atom_site_fract_y
_atom_site_fract_z
_atom_site_occupancy
Fe1 0.0000 0.0000 0.0000 1
Fe2 0.2500 0.2500 0.2500 1
As1 0.2500 0.2500 0.7500 1
W1 0.0000 0.0000 0.5000 1

=====

# RbNa2Au2 SCAN single point on PBEsol structure
# calculated formation energy = -135 kJ/mol of formula units
data_RbNa2Au2
_symmetry_space_group_name_H-M 'P 4/m b m'
_symmetry_Int_Tables_number 127
_symmetry_space_group_name_Hall '-P 4 2ab'
_cell_length_a 9.0690
_cell_length_b 9.0690
_cell_length_c 2.9945
_cell_angle_alpha 90.00
_cell_angle_beta 90.00
_cell_angle_gamma 90.00
loop_
_atom_site_label
_atom_site_fract_x
_atom_site_fract_y
_atom_site_fract_z
_atom_site_occupancy
Rb1 0.0000 0.0000 0.0000 1
Na1 0.1239 0.3761 0.5000 1
Au1 0.1687 0.6687 0.0000 1

=====

# BeCI2O SCAN single point on PBEsol structure
# formation energy without anion corrections = 6.84 eV per formula unit
data_BeCI2O
_symmetry_space_group_name_H-M 'P 4/m m m'
_symmetry_Int_Tables_number 123
_symmetry_space_group_name_Hall '-P 4 2'
_cell_length_a 4.9416
_cell_length_b 4.9416
_cell_length_c 3.4044
_cell_angle_alpha 90.00
_cell_angle_beta 90.00
_cell_angle_gamma 90.00
loop_
_atom_site_label
_atom_site_fract_x
_atom_site_fract_y
_atom_site_fract_z
_atom_site_occupancy
Be1 0.0000 0.0000 0.0000 1
C1 0.5000 0.5000 0.5000 1
I1 0.0000 0.5000 0.5000 1
O1 0.5000 0.5000 0.0000 1

=====

# CaHf3Sn SCAN single point on PBEsol structure
# calculated formation energy = 821 kJ/mol of formula units
data_CaHf3Sn
_symmetry_space_group_name_H-M 'P m -3 m'
_symmetry_Int_Tables_number 221
_symmetry_space_group_name_Hall '-P 4 2 3'
_cell_length_a 4.9288
_cell_length_b 4.9288
_cell_length_c 4.9288
_cell_angle_alpha 90.00
_cell_angle_beta 90.00
_cell_angle_gamma 90.00
loop_
_atom_site_label
_atom_site_fract_x
_atom_site_fract_y
_atom_site_fract_z
_atom_site_occupancy
Ca1 0.0000 0.0000 0.0000 1
Hf1 0.0000 0.0000 0.5000 1
Sn1 0.5000 0.5000 0.5000 1

=====

# Zr2SbSe SCAN single point on PBEsol structure
# formation energy without anion corrections = -2.06 eV per formula unit
data_Zr2SbSe
_symmetry_space_group_name_H-M 'I -4 m 2'
_symmetry_Int_Tables_number 119
_symmetry_space_group_name_Hall 'I -4 -2'
_cell_length_a 3.9323
_cell_length_b 3.9323
_cell_length_c 11.1805
_cell_angle_alpha 90.00
_cell_angle_beta 90.00
_cell_angle_gamma 90.00
loop_
_atom_site_label
_atom_site_fract_x
_atom_site_fract_y
_atom_site_fract_z
_atom_site_occupancy
Zr1 0.0000 0.0000 0.0000 1
Zr2 0.0000 0.5000 0.2500 1
Sb1 0.0000 0.0000 0.5000 1
Se1 0.0000 0.5000 0.7500 1

=====

# Co6SbW SCAN single point on PBEsol structure
# formation energy without anion corrections = 1.49 eV per formula unit
data_Co6SbW
_symmetry_space_group_name_H-M 'C m m m'
_symmetry_Int_Tables_number 65
_symmetry_space_group_name_Hall '-C 2 2'
_cell_length_a 7.1804
_cell_length_b 10.1560
_cell_length_c 10.1694
_cell_angle_alpha 90.00
_cell_angle_beta 90.00
_cell_angle_gamma 90.00
loop_
_atom_site_label
_atom_site_fract_x
_atom_site_fract_y
_atom_site_fract_z
_atom_site_occupancy
Co1 0.0000 0.0000 0.0000 1
Co2 0.0000 0.0000 0.5000 1
Co3 0.0000 0.2455 0.2436 1
Co4 0.0000 0.5000 0.0000 1
Co5 0.0000 0.5000 0.5000 1
Co6 0.2437 0.1225 0.3710 1
Co7 0.2451 0.1271 0.1211 1
Sb1 0.0000 0.2505 0.5000 1
Sb2 0.0000 0.5000 0.2483 1
W1 0.0000 0.0000 0.2491 1
W2 0.0000 0.2469 0.0000 1

=====

Number 1: spin magnetization 1.079 μB per atom, DOS(E_F) 0.63 states/eV per atom. Number 2: spin magnetization 0.000 μB per atom, DOS(E_F) 0.31 states/eV per atom. Number 3: spin magnetization 0.000 μB per atom, DOS(E_F) 0.32 states/eV per atom. Number 4: spin magnetization 0.001 μB per atom, DOS(E_F) 1.45 states/eV per atom. Number 5: spin magnetization 0.000 μB per atom, DOS(E_F) 1.10 states/eV per atom. Number 6: spin magnetization 0.007 μB per atom, DOS(E_F) 0.55 states/eV per atom.